An optimized crystal structure of CsTl2Cu2. Source: Alexandria, functional GGA-PBE.

Lattice parameters (Å, degrees): 5.042 5.042 11.156 90.00 90.00 90.00
Atoms (fractional coordinates):
Cs  0.000  0.000  0.000
Cs  0.500  0.500  0.500
Tl  0.000  0.500  0.250
Tl  0.000  0.500  0.750
Tl  0.500  0.000  0.250
Tl  0.500  0.000  0.750
Cu  0.000  0.000  0.388
Cu  0.000  0.000  0.612
Cu  0.500  0.500  0.112
Cu  0.500  0.500  0.888

Values from the calculation:
Its formation energy is 253 meV per atom. Its final energy is -25.02 eV per cell. The space-group type is I4/mmm (139). The density of states at the Fermi level comes out at 5.124 states/eV/cell.

An optimized crystal structure of CsTl2Cu2. Source: Alexandria, functional GGA-PBE.

Lattice parameters (Å, degrees): 5.006 5.006 12.040 90.00 90.00 90.00
Atoms (fractional coordinates):
Cs  0.000  0.000  0.000
Cs  0.500  0.500  0.500
Tl  0.000  0.000  0.341
Tl  0.000  0.000  0.659
Tl  0.500  0.500  0.159
Tl  0.500  0.500  0.841
Cu  0.000  0.500  0.250
Cu  0.000  0.500  0.750
Cu  0.500  0.000  0.250
Cu  0.500  0.000  0.750

Values from the calculation:
Its formation energy is 191 meV per atom. Its final energy is -25.64 eV per cell. The space-group type is I4/mmm (139). The density of states at the Fermi level comes out at 4.424 states/eV/cell.

An optimized crystal structure of CsY2TlCu. Source: Alexandria, functional GGA-PBE.

Lattice parameters (Å, degrees): 5.571 5.571 5.366 90.00 90.00 90.00
Atoms (fractional coordinates):
Cs  0.000  0.000  0.000
Y  0.000  0.500  0.500
Y  0.500  0.000  0.500
Tl  0.500  0.500  0.000
Cu  0.500  0.500  0.500

Values from the calculation:
Its formation energy is 346 meV per atom. Its final energy is -18.51 eV per cell. The space-group type is P4/mmm (123). The density of states at the Fermi level comes out at 5.927 states/eV/cell.

An optimized crystal structure of CsVCu3. Source: Alexandria, functional GGA-PBE.

Lattice parameters (Å, degrees): 5.025 5.025 5.025 90.00 90.00 90.00
Atoms (fractional coordinates):
Cs  0.000  0.000  0.000
V  0.500  0.500  0.500
Cu  0.000  0.500  0.500
Cu  0.500  0.000  0.500
Cu  0.500  0.500  0.000

Values from the calculation:
Its formation energy is 977 meV per atom. Its final energy is -17.37 eV per cell. The space-group type is Pm-3m (221). The density of states at the Fermi level comes out at 6.204 states/eV/cell.

Q: Which of these has the lowest density of states at the Fermi level?
A: number 2